No. 1
Below is an optimized crystal structure of PaVCdO6, with properties calculated at the GGA+U level.

Properties
As for the mass density: 6.91 g/cm³. The calculation puts the uncorrected energy at -7.531 eV/atom. As for the crystal system: trigonal.

POSCAR file:
```
PaVCdO6
1.0
5.3253 0.0000 0.0000
-2.6626 4.6118 0.0000
0.0000 0.0000 4.7952
Pa V Cd O
1 1 1 6
Direct
0.0000 0.0000 0.0000
0.3333 0.6667 0.5000
0.6667 0.3333 0.5000
0.0544 0.3606 0.2666
0.0544 0.6938 0.7334
0.3062 0.3606 0.7334
0.3062 0.9456 0.2666
0.6394 0.6938 0.2666
0.6394 0.9456 0.7334
```

No. 2
Below is an optimized crystal structure of PaVCd2O8, with properties calculated at the GGA+U level.

Properties
As for the mass density: 6.29 g/cm³. The calculation puts the uncorrected energy at -6.614 eV/atom. As for the crystal system: monoclinic.

POSCAR file:
```
PaVCd2O8
1.0
5.0384 0.0000 0.0000
0.0000 6.5936 0.0000
-0.1650 0.0000 5.0461
Pa V Cd O
1 1 2 8
Direct
0.0000 0.0000 0.0000
0.0000 0.5000 0.0000
0.5000 0.2623 0.5000
0.5000 0.7377 0.5000
0.1762 0.2831 0.8258
0.1762 0.7169 0.8258
0.2655 0.5000 0.2675
0.2905 0.0000 0.2918
0.7095 0.0000 0.7082
0.7345 0.5000 0.7325
0.8238 0.2831 0.1742
0.8238 0.7169 0.1742
```

No. 3
Below is an optimized crystal structure of PaV2CdO8, with properties calculated at the GGA+U level.

Properties
As for the mass density: 4.42 g/cm³. The calculation puts the uncorrected energy at -7.543 eV/atom. As for the crystal system: trigonal.

POSCAR file:
```
PaV2CdO8
1.0
5.9399 0.0000 0.0000
-2.9700 5.1441 0.0000
0.0000 0.0000 7.0431
Pa V Cd O
1 2 1 8
Direct
0.0000 0.0000 0.0000
0.3333 0.6667 0.2682
0.6667 0.3333 0.7318
0.0000 0.0000 0.5000
0.1685 0.3370 0.1865
0.1685 0.8315 0.1865
0.3333 0.6667 0.5010
0.3370 0.1685 0.8135
0.6630 0.8315 0.1865
0.6667 0.3333 0.4990
0.8315 0.1685 0.8135
0.8315 0.6630 0.8135
```

No. 4
Below is an optimized crystal structure of PaCdWO6, with properties calculated at the GGA+U level.

Properties
As for the mass density: 7.98 g/cm³. The calculation puts the uncorrected energy at -7.630 eV/atom. As for the crystal system: trigonal.

POSCAR file:
```
PaCdWO6
1.0
5.6655 0.0000 0.0000
-2.8327 4.9064 0.0000
0.0000 0.0000 9.3365
Pa Cd W O
2 2 2 12
Direct
0.3333 0.6667 0.2500
0.6667 0.3333 0.7500
0.0000 0.0000 0.0000
0.0000 0.0000 0.5000
0.3333 0.6667 0.7500
0.6667 0.3333 0.2500
0.0221 0.3682 0.6383
0.0221 0.6539 0.8617
0.3461 0.3682 0.8617
0.3461 0.9779 0.6383
0.3682 0.0221 0.1383
0.3682 0.3461 0.3617
0.6318 0.6539 0.6383
0.6318 0.9779 0.8617
0.6539 0.0221 0.3617
0.6539 0.6318 0.1383
0.9779 0.3461 0.1383
0.9779 0.6318 0.3617
```